Here is an optimized crystal structure of TaTe2IN from Alexandria. Energies are from PBE-GGA.

crystal system	tetragonal
spin magnetization	0.0	Bohr magnetons per cell
symmetry	P4/mmm
formation energy from raw total energies	179	meV per atom
energy above the lowest structure with this stoichiometry	0	meV per atom

Cell: 5.646 5.646 3.958 Å, 90.00 90.00 90.00°
Fractional coordinates of all 5 atoms:
I1 0.500 0.500 0.500
Ta1 0.000 0.000 0.000
N1 0.000 0.000 0.500
Te1 0.500 0.000 0.000
Te2 0.000 0.500 0.000



Here is an optimized crystal structure of TaTe2IN from Alexandria. Energies are from PBE-GGA.

crystal system	tetragonal
spin magnetization	2.4	Bohr magnetons per cell
symmetry	P4/mmm
formation energy from raw total energies	1738	meV per atom
energy above the lowest structure with this stoichiometry	1559	meV per atom

Cell: 5.790 5.790 3.885 Å, 90.00 90.00 90.00°
Fractional coordinates of all 5 atoms:
Te1 0.500 0.000 0.000
Te2 0.000 0.500 0.000
N1 0.000 0.000 0.500
I1 0.000 0.000 0.000
Ta1 0.500 0.500 0.500



Here is an optimized crystal structure of TaTiI2N from Alexandria. Energies are from PBE-GGA.

crystal system	tetragonal
spin magnetization	2.6	Bohr magnetons per cell
symmetry	P4/mmm
formation energy from raw total energies	647	meV per atom
energy above the lowest structure with this stoichiometry	127	meV per atom

Cell: 5.628 5.628 3.684 Å, 90.00 90.00 90.00°
Fractional coordinates of all 5 atoms:
I1 0.000 0.500 0.000
I2 0.500 0.000 0.000
Ti1 0.000 0.000 0.000
Ta1 0.500 0.500 0.500
N1 0.000 0.000 0.500



Here is an optimized crystal structure of TaTiI2N from Alexandria. Energies are from PBE-GGA.

crystal system	tetragonal
spin magnetization	0.0	Bohr magnetons per cell
symmetry	P4/mmm
formation energy from raw total energies	1987	meV per atom
energy above the lowest structure with this stoichiometry	1467	meV per atom

Cell: 5.218 5.218 4.924 Å, 90.00 90.00 90.00°
Fractional coordinates of all 5 atoms:
Ti1 0.000 0.000 0.000
N1 0.500 0.500 0.500
I1 0.000 0.500 0.000
I2 0.500 0.000 0.000
Ta1 0.000 0.000 0.500